# 1
Ni2AgPb, relaxed, DFT PBEsol; relative energy among the computed polymorphs = 0 meV/atom; M_tot = 0.000 Bohr magnetons per cell; calculated total energy = -4.73 eV per atom; formation energy from the elements = 0.7 eV per formula unit
1.0
4.4029 0.0000 0.0000
-2.2015 3.7623 0.1359
0.0000 2.4440 3.6623
Ag Ni Pb
1 2 1
direct
0.5000 0.0000 0.5000
0.7500 0.5000 0.7500
0.2500 0.5000 0.2500
0.0000 0.0000 0.0000

---

# 2
NiAgPbS2, relaxed, DFT PBEsol; M_tot = 0.990 Bohr magnetons per cell; formation energy without anion corrections = 98 kJ/mol of atoms; calculated total energy = -3.43 eV per atom
1.0
4.6788 0.0000 0.0000
0.0000 4.6788 0.0000
0.0000 0.0000 5.4290
Ag S Pb Ni
1 2 1 1
direct
0.0000 0.0000 0.0000
0.0000 0.5000 0.0000
0.5000 0.0000 0.0000
0.0000 0.0000 0.5000
0.5000 0.5000 0.5000

---

# 3
Si2NiAgPd, relaxed, DFT PBEsol; M_tot = 0.549 Bohr magnetons per cell; formation energy without anion corrections = 71 kJ/mol of atoms; calculated total energy = -4.64 eV per atom
1.0
4.4638 0.0000 0.0000
0.0000 4.4638 0.0000
0.0000 0.0000 4.7139
Si Ag Ni Pd
2 1 1 1
direct
0.5000 0.0000 0.0000
0.0000 0.5000 0.0000
0.5000 0.5000 0.5000
0.0000 0.0000 0.5000
0.0000 0.0000 0.0000

---

# 4
NiAgPt2, relaxed, DFT PBEsol; M_tot = 1.098 Bohr magnetons per cell; calculated total energy = -5.72 eV per atom; formation energy from the elements = 0.5 eV per formula unit
1.0
-0.7544 2.3419 -1.2299
1.4917 -1.6282 -4.0155
-4.5054 -2.1208 1.8012
Pt Ag Ni
2 1 1
direct
0.7434 0.2434 0.4868
0.9861 0.9861 0.9722
0.5129 0.5129 0.0257
0.2576 0.7576 0.5153

---

# 5
NiAgPt2, relaxed, DFT PBEsol; M_tot = 0.833 Bohr magnetons per cell; calculated total energy = -5.73 eV per atom; formation energy from the elements = 0.5 eV per formula unit
1.0
-1.4587 -1.6661 1.6028
3.8942 -1.6088 1.8718
-0.1973 3.2767 3.2266
Pt Ag Ni
2 1 1
direct
0.0000 0.0000 0.0000
0.5000 0.5000 0.0000
0.5000 0.0000 0.5000
0.0000 0.5000 0.5000

---

# 6
NiAgPt2, relaxed, DFT PBEsol; M_tot = 0.072 Bohr magnetons per cell; calculated total energy = -5.66 eV per atom; formation energy from the elements = 0.8 eV per formula unit
1.0
-1.8503 -0.0478 -3.9235
1.8290 -2.2402 -3.2337
-1.8837 -3.6226 -1.4659
Pt Ag Ni
2 1 1
direct
0.7500 0.7500 0.7500
0.0000 0.0000 0.0000
0.5000 0.5000 0.5000
0.2500 0.2500 0.2500

---

# 7
Ni2AgPt, relaxed, DFT PBEsol; M_tot = 1.302 Bohr magnetons per cell; calculated total energy = -5.53 eV per atom; formation energy from the elements = 0.5 eV per formula unit
1.0
2.7197 0.0000 0.0000
0.0000 4.3676 0.0000
-1.3598 -2.1838 4.4132
Ni Pt Ag
2 1 1
direct
0.7383 0.2383 0.4766
0.0171 0.0171 0.0343
0.4842 0.4842 0.9683
0.2604 0.7604 0.5208

---

# 8
Ni2AgPt, relaxed, DFT PBEsol; M_tot = 0.992 Bohr magnetons per cell; calculated total energy = -5.57 eV per atom; formation energy from the elements = 0.3 eV per formula unit
1.0
-2.0067 -1.2809 -1.2260
2.7320 -0.9966 -3.4304
0.4064 -3.4129 2.9003
Pt Ni Ag
1 2 1
direct
0.5000 0.0000 0.0000
0.0000 0.0000 0.5000
0.0000 0.5000 0.0000
0.5000 0.5000 0.5000

---

# 9
NiAgPt2, relaxed, DFT PBEsol; M_tot = 1.279 Bohr magnetons per cell; calculated total energy = -5.79 eV per atom; formation energy from the elements = 0.2 eV per formula unit
1.0
-2.6454 0.6753 0.1450
-0.7052 -2.1327 -2.9332
-0.9382 -4.4129 3.4341
Ag Pt Ni
1 2 1
direct
0.5000 0.5000 0.0000
0.0000 0.0000 0.2680
0.0000 0.0000 0.7320
0.5000 0.5000 0.5000

---

# 10
Ni2AgPt, relaxed, DFT PBEsol; M_tot = 1.402 Bohr magnetons per cell; calculated total energy = -5.53 eV per atom; formation energy from the elements = 0.5 eV per formula unit
1.0
2.6805 0.0000 0.0000
1.3402 2.3214 0.0000
1.3402 0.7738 8.5185
Ni Ag Pt
2 1 1
direct
0.7520 0.7520 0.7440
0.2480 0.2480 0.2560
0.0000 0.0000 0.0000
0.5000 0.5000 0.5000

---

# 11
NiAgPt2, relaxed, DFT PBEsol; M_tot = 1.089 Bohr magnetons per cell; calculated total energy = -5.80 eV per atom; formation energy from the elements = 0.2 eV per formula unit
1.0
2.7248 0.0000 0.0000
1.3624 2.3598 0.0000
1.3624 0.7866 8.9151
Ag Ni Pt
1 1 2
direct
0.5048 0.5048 0.4855
0.2520 0.2520 0.2439
0.7490 0.7490 0.7530
0.9941 0.9941 0.0176

---

# 12
NiAgPt2, relaxed, DFT PBEsol; M_tot = 1.110 Bohr magnetons per cell; calculated total energy = -5.77 eV per atom; formation energy from the elements = 0.3 eV per formula unit
1.0
-1.0657 2.4773 -0.3933
-2.4634 -2.9867 -2.6947
-2.3777 -0.3730 4.0928
Pt Ag Ni
2 1 1
direct
0.0059 0.0117 0.0045
0.2542 0.5084 0.7602
0.4954 0.9908 0.4922
0.7446 0.4891 0.2431

---

# 13
NiAgPt2, relaxed, DFT PBEsol; M_tot = 1.365 Bohr magnetons per cell; calculated total energy = -5.87 eV per atom; formation energy from the elements = -0.1 eV per formula unit
1.0
2.7354 0.0000 0.0000
0.0000 2.7354 0.0000
0.0000 0.0000 7.6262
Ni Pt Ag
1 2 1
direct
0.5000 0.5000 0.5000
0.0000 0.0000 0.7230
0.0000 0.0000 0.2770
0.5000 0.5000 0.0000

---

# 14
Ni2AgPt, relaxed, DFT PBEsol; M_tot = 1.407 Bohr magnetons per cell; calculated total energy = -5.56 eV per atom; formation energy from the elements = 0.3 eV per formula unit
1.0
-0.1264 1.6986 2.0787
2.4815 -1.9297 1.7278
3.9385 3.0487 -2.2517
Ag Ni Pt
1 2 1
direct
0.5000 0.5000 0.5000
0.0000 0.0000 0.2325
0.0000 0.0000 0.7675
0.5000 0.5000 0.0000

---

# 15
NiAgPt2, relaxed, DFT PBEsol; M_tot = 1.192 Bohr magnetons per cell; calculated total energy = -5.80 eV per atom; formation energy from the elements = 0.2 eV per formula unit
1.0
-0.4785 1.6789 2.1132
1.2741 -1.7514 1.6800
6.5894 3.5325 -1.3145
Pt Ag Ni
2 1 1
direct
0.0000 0.0000 0.9798
0.5000 0.5000 0.2427
0.0000 0.0000 0.5168
0.5000 0.5000 0.7607

---

# 16
NiAgPt2, relaxed, DFT PBEsol; M_tot = 0.918 Bohr magnetons per cell; calculated total energy = -5.77 eV per atom; formation energy from the elements = 0.3 eV per formula unit
1.0
2.7252 0.0000 0.0000
0.0000 4.7303 0.0377
0.0000 -1.6552 4.4314
Ni Pt Ag
1 2 1
direct
0.5000 0.5000 0.5000
0.0000 0.0000 0.5000
0.0000 0.5000 0.0000
0.5000 0.0000 0.0000

---

# 17
NiAgPt3, relaxed, DFT PBEsol; relative energy among the computed polymorphs = 980 meV/atom; M_tot = 1.270 Bohr magnetons per cell; calculated total energy = -4.03 eV per atom; formation energy from the elements = 10.2 eV per formula unit
1.0
4.7540 0.0000 0.0000
0.0000 4.7540 0.0000
0.0000 0.0000 4.7540
Ag Pt Ni
1 3 1
direct
0.0000 0.0000 0.0000
0.5000 0.0000 0.0000
0.0000 0.0000 0.5000
0.0000 0.5000 0.0000
0.5000 0.5000 0.5000

---

# 18
NiAgPt3, relaxed, DFT PBEsol; relative energy among the computed polymorphs = 0 meV/atom; M_tot = 0.911 Bohr magnetons per cell; calculated total energy = -5.01 eV per atom; formation energy from the elements = 5.3 eV per formula unit
1.0
4.4852 0.0000 0.0000
0.0000 4.4852 0.0000
0.0000 0.0000 4.4852
Pt Ag Ni
3 1 1
direct
0.5000 0.0000 0.0000
0.0000 0.5000 0.0000
0.0000 0.0000 0.5000
0.5000 0.5000 0.5000
0.0000 0.0000 0.0000

---

# 19
NiAgPt2, relaxed, DFT PBEsol; M_tot = 1.052 Bohr magnetons per cell; calculated total energy = -5.87 eV per atom; formation energy from the elements = -0.1 eV per formula unit
1.0
2.7262 0.0000 0.0000
1.3631 2.3610 0.0000
1.3631 0.7870 8.8950
Ni Ag Pt
1 1 2
direct
0.0000 0.0000 0.0000
0.5000 0.5000 0.5000
0.7435 0.7435 0.7695
0.2565 0.2565 0.2305

---

# 20
NiAgPt2, relaxed, DFT PBEsol; M_tot = 1.196 Bohr magnetons per cell; calculated total energy = -5.77 eV per atom; formation energy from the elements = 0.3 eV per formula unit
1.0
3.8548 0.0000 0.0000
0.0000 3.8548 0.0000
-1.9274 -1.9274 3.8496
Ag Ni Pt
1 1 2
direct
0.5000 0.5000 0.0000
0.0000 0.0000 0.0000
0.7500 0.2500 0.5000
0.2500 0.7500 0.5000